20
Lattice="-5.092 6.113 3.023 5.092 -6.113 3.023 5.092 6.113 -3.023" Properties=species:S:1:pos:R:3 comment="Th2Ge5Os3 (GGA-PBE, relaxed)" spacegroup="Ibam (72)" pbc="T T T"
Os -1.127 1.799 3.023
Ge 3.455 1.151 0.000
Os 6.219 4.314 0.000
Ge 0.000 0.000 1.511
Th 2.340 1.655 3.023
Os 3.964 4.314 3.023
Ge 0.000 8.784 1.511
Th 2.752 4.458 0.000
Th -2.752 4.458 3.023
Os 5.092 0.000 1.511
Ge 3.455 -1.151 3.023
Os 0.000 6.113 1.511
Th 7.844 1.655 0.000
Os 1.127 1.799 0.000
Ge 5.092 2.671 1.511
Ge 1.637 7.264 0.000
Ge 0.000 3.442 1.511
Ge 5.092 -2.671 1.511
Ge 0.000 0.000 4.534
Ge 1.637 4.962 3.023

=====

8
Lattice="3.550 0.000 0.000 -1.775 3.075 0.000 0.000 0.000 15.130" Properties=species:S:1:pos:R:3 comment="Lu4SnSbC2 (GGA-PBE, relaxed)" spacegroup="P-6m2 (187)" pbc="T T T"
Sn 0.000 2.050 7.565
Lu 0.000 0.000 5.021
Lu 0.000 2.050 2.456
Lu 0.000 2.050 12.674
Lu 0.000 0.000 10.109
C 1.775 1.025 3.717
Sb 0.000 0.000 0.000
C 1.775 1.025 11.413

=====

Number 1: uncorrected energy -7.646 eV per atom. Number 2: uncorrected energy -6.243 eV per atom.